No. 1
## CdSn6Pb (GGA-PBE)

Data for an optimized crystal structure of CdSn6Pb.

abc: 8.930 11.219 6.309
angles: 90.00 134.86 90.00
Fractional coordinates of all 16 atoms:
1 Cd 0.000 0.000 0.000
2 Cd 0.500 0.500 0.000
3 Sn 0.003 0.500 0.752
4 Sn 0.249 0.240 0.249
5 Sn 0.249 0.760 0.249
6 Sn 0.251 0.260 0.751
7 Sn 0.251 0.740 0.751
8 Sn 0.497 0.000 0.248
9 Sn 0.503 0.000 0.752
10 Sn 0.749 0.260 0.249
11 Sn 0.749 0.740 0.249
12 Sn 0.751 0.240 0.751
13 Sn 0.751 0.760 0.751
14 Sn 0.997 0.500 0.248
15 Pb 0.000 0.000 0.500
16 Pb 0.500 0.500 0.500

Output
* ρ: 7.65 g/cm³
* symmetry: C2/m
* energy relative to the elements: 6 kJ per mole of atoms

=====

No. 2
## CdSn2Pb2 (GGA-PBE)

Data for an optimized crystal structure of CdSn2Pb2.

abc: 7.722 7.722 5.041
angles: 90.00 90.00 90.00
Fractional coordinates of all 10 atoms:
1 Cd 0.000 0.000 0.000
2 Cd 0.500 0.500 0.000
3 Sn 0.135 0.365 0.000
4 Sn 0.365 0.865 0.000
5 Sn 0.635 0.135 0.000
6 Sn 0.865 0.635 0.000
7 Pb 0.181 0.681 0.500
8 Pb 0.319 0.181 0.500
9 Pb 0.681 0.819 0.500
10 Pb 0.819 0.319 0.500

Output
* ρ: 8.44 g/cm³
* symmetry: P4/mbm
* energy relative to the elements: 8 kJ per mole of atoms

=====

No. 3
## Cd3Sn2Pb2 (GGA-PBE)

Data for an optimized crystal structure of Cd3Sn2Pb2.

abc: 4.670 23.453 3.476
angles: 90.00 90.00 90.00
Fractional coordinates of all 14 atoms:
1 Cd 0.000 0.000 0.000
2 Cd 0.000 0.436 0.500
3 Cd 0.000 0.564 0.500
4 Cd 0.500 0.064 0.500
5 Cd 0.500 0.500 0.000
6 Cd 0.500 0.936 0.500
7 Sn 0.000 0.294 0.500
8 Sn 0.000 0.706 0.500
9 Sn 0.500 0.206 0.500
10 Sn 0.500 0.794 0.500
11 Pb 0.000 0.136 0.000
12 Pb 0.000 0.864 0.000
13 Pb 0.500 0.364 0.000
14 Pb 0.500 0.636 0.000

Output
* ρ: 8.63 g/cm³
* symmetry: Cmmm
* energy relative to the elements: 6 kJ per mole of atoms

=====

No. 4
## Cd2SnPb2 (GGA-PBE)

Data for an optimized crystal structure of Cd2SnPb2.

abc: 5.005 3.369 8.584
angles: 90.00 105.53 90.00
Fractional coordinates of all 5 atoms:
1 Cd 0.199 0.000 0.401
2 Cd 0.801 0.000 0.599
3 Sn 0.000 0.000 0.000
4 Pb 0.396 0.500 0.787
5 Pb 0.604 0.500 0.213

Output
* ρ: 9.02 g/cm³
* symmetry: P2/m
* energy relative to the elements: 6 kJ per mole of atoms

=====

No. 5
## CdSnPb4 (GGA-PBE)

Data for an optimized crystal structure of CdSnPb4.

abc: 5.775 6.826 9.238
angles: 90.00 98.89 90.00
Fractional coordinates of all 12 atoms:
1 Cd 0.202 0.250 0.426
2 Cd 0.798 0.750 0.574
3 Sn 0.280 0.250 0.105
4 Sn 0.720 0.750 0.895
5 Pb 0.223 0.007 0.758
6 Pb 0.223 0.493 0.758
7 Pb 0.254 0.750 0.082
8 Pb 0.286 0.750 0.442
9 Pb 0.714 0.250 0.558
10 Pb 0.746 0.250 0.918
11 Pb 0.777 0.507 0.242
12 Pb 0.777 0.993 0.242

Output
* ρ: 9.78 g/cm³
* symmetry: P2_1/m
* energy relative to the elements: 6 kJ per mole of atoms

=====

No. 6
## Cd2SnPb4 (GGA-PBE)

Data for an optimized crystal structure of Cd2SnPb4.

abc: 8.087 8.087 6.386
angles: 90.00 90.00 90.00
Fractional coordinates of all 14 atoms:
1 Cd 0.000 0.500 0.250
2 Cd 0.000 0.500 0.750
3 Cd 0.500 0.000 0.250
4 Cd 0.500 0.000 0.750
5 Sn 0.000 0.000 0.000
6 Sn 0.500 0.500 0.500
7 Pb 0.207 0.207 0.500
8 Pb 0.207 0.793 0.500
9 Pb 0.293 0.293 0.000
10 Pb 0.293 0.707 0.000
11 Pb 0.707 0.293 0.000
12 Pb 0.707 0.707 0.000
13 Pb 0.793 0.207 0.500
14 Pb 0.793 0.793 0.500

Output
* ρ: 9.32 g/cm³
* symmetry: I4/mmm
* energy relative to the elements: 10 kJ per mole of atoms

=====

No. 7
## Cd3Sn5Pb12 (GGA-PBE)

Data for an optimized crystal structure of Cd3Sn5Pb12.

abc: 15.482 15.482 15.482
angles: 109.47 109.47 109.47
Fractional coordinates of all 80 atoms:
1 Cd 0.125 0.250 0.375
2 Cd 0.125 0.375 0.750
3 Cd 0.250 0.375 0.125
4 Cd 0.250 0.875 0.625
5 Cd 0.375 0.125 0.250
6 Cd 0.375 0.750 0.125
7 Cd 0.625 0.250 0.875
8 Cd 0.625 0.875 0.750
9 Cd 0.750 0.125 0.375
10 Cd 0.750 0.625 0.875
11 Cd 0.875 0.625 0.250
12 Cd 0.875 0.750 0.625
13 Sn 0.000 0.000 0.000
14 Sn 0.000 0.000 0.500
15 Sn 0.000 0.500 0.000
16 Sn 0.000 0.500 0.500
17 Sn 0.125 0.750 0.875
18 Sn 0.125 0.875 0.250
19 Sn 0.250 0.125 0.875
20 Sn 0.250 0.625 0.375
21 Sn 0.375 0.250 0.625
22 Sn 0.375 0.625 0.750
23 Sn 0.500 0.000 0.000
24 Sn 0.500 0.000 0.500
25 Sn 0.500 0.500 0.000
26 Sn 0.500 0.500 0.500
27 Sn 0.625 0.375 0.250
28 Sn 0.625 0.750 0.375
29 Sn 0.750 0.375 0.625
30 Sn 0.750 0.875 0.125
31 Sn 0.875 0.125 0.750
32 Sn 0.875 0.250 0.125
33 Pb 0.063 0.236 0.126
34 Pb 0.063 0.327 0.937
35 Pb 0.063 0.626 0.390
36 Pb 0.063 0.937 0.673
37 Pb 0.110 0.736 0.673
38 Pb 0.110 0.874 0.437
39 Pb 0.126 0.063 0.236
40 Pb 0.126 0.563 0.890
41 Pb 0.173 0.236 0.610
42 Pb 0.173 0.437 0.563
43 Pb 0.236 0.126 0.063
44 Pb 0.236 0.610 0.173
45 Pb 0.264 0.327 0.890
46 Pb 0.264 0.437 0.374
47 Pb 0.327 0.890 0.264
48 Pb 0.327 0.937 0.063
49 Pb 0.374 0.264 0.437
50 Pb 0.374 0.610 0.937
51 Pb 0.390 0.063 0.626
52 Pb 0.390 0.827 0.764
53 Pb 0.437 0.110 0.874
54 Pb 0.437 0.374 0.264
55 Pb 0.437 0.563 0.173
56 Pb 0.437 0.827 0.563
57 Pb 0.563 0.173 0.437
58 Pb 0.563 0.437 0.827
59 Pb 0.563 0.626 0.736
60 Pb 0.563 0.890 0.126
61 Pb 0.610 0.173 0.236
62 Pb 0.610 0.937 0.374
63 Pb 0.626 0.390 0.063
64 Pb 0.626 0.736 0.563
65 Pb 0.673 0.063 0.937
66 Pb 0.673 0.110 0.736
67 Pb 0.736 0.563 0.626
68 Pb 0.736 0.673 0.110
69 Pb 0.764 0.390 0.827
70 Pb 0.764 0.874 0.937
71 Pb 0.827 0.563 0.437
72 Pb 0.827 0.764 0.390
73 Pb 0.874 0.437 0.110
74 Pb 0.874 0.937 0.764
75 Pb 0.890 0.126 0.563
76 Pb 0.890 0.264 0.327
77 Pb 0.937 0.063 0.327
78 Pb 0.937 0.374 0.610
79 Pb 0.937 0.673 0.063
80 Pb 0.937 0.764 0.874

Output
* ρ: 7.95 g/cm³
* symmetry: Ia-3d
* energy relative to the elements: 19 kJ per mole of atoms

=====

No. 8
## CdSn2Pb2 (GGA-PBE)

Data for an optimized crystal structure of CdSn2Pb2.

abc: 4.610 4.610 15.193
angles: 90.00 90.00 90.00
Fractional coordinates of all 10 atoms:
1 Cd 0.000 0.000 0.000
2 Cd 0.500 0.500 0.500
3 Sn 0.000 0.000 0.403
4 Sn 0.000 0.000 0.597
5 Sn 0.500 0.500 0.097
6 Sn 0.500 0.500 0.903
7 Pb 0.000 0.500 0.250
8 Pb 0.000 0.500 0.750
9 Pb 0.500 0.000 0.250
10 Pb 0.500 0.000 0.750

Output
* ρ: 7.86 g/cm³
* symmetry: I4/mmm
* energy relative to the elements: 19 kJ per mole of atoms

=====

No. 9
## CdSn2Pb (GGA-PBE)

Data for an optimized crystal structure of CdSn2Pb.

abc: 4.707 4.707 5.028
angles: 90.00 90.00 90.00
Fractional coordinates of all 4 atoms:
1 Cd 0.000 0.000 0.000
2 Sn 0.000 0.500 0.500
3 Sn 0.500 0.000 0.500
4 Pb 0.500 0.500 0.000

Output
* ρ: 8.30 g/cm³
* symmetry: P4/mmm
* energy relative to the elements: 6 kJ per mole of atoms

=====

No. 10
## CdSn2Pb5 (GGA-PBE)

Data for an optimized crystal structure of CdSn2Pb5.

abc: 6.271 6.271 22.732
angles: 90.00 90.00 147.67
Fractional coordinates of all 16 atoms:
1 Cd 0.202 0.798 0.750
2 Cd 0.798 0.202 0.250
3 Sn 0.185 0.815 0.150
4 Sn 0.185 0.815 0.350
5 Sn 0.815 0.185 0.650
6 Sn 0.815 0.185 0.850
7 Pb 0.087 0.913 0.608
8 Pb 0.087 0.913 0.892
9 Pb 0.365 0.635 0.526
10 Pb 0.365 0.635 0.974
11 Pb 0.478 0.522 0.750
12 Pb 0.522 0.478 0.250
13 Pb 0.635 0.365 0.026
14 Pb 0.635 0.365 0.474
15 Pb 0.913 0.087 0.108
16 Pb 0.913 0.087 0.392

Output
* ρ: 9.63 g/cm³
* symmetry: Cmcm
* energy relative to the elements: 4 kJ per mole of atoms

=====

No. 11
## Cd2SnPb (GGA-PBE)

Data for an optimized crystal structure of Cd2SnPb.

abc: 7.533 7.533 7.533
angles: 90.00 90.00 90.00
Fractional coordinates of all 16 atoms:
1 Cd 0.250 0.250 0.250
2 Cd 0.250 0.250 0.750
3 Cd 0.250 0.750 0.250
4 Cd 0.250 0.750 0.750
5 Cd 0.750 0.250 0.250
6 Cd 0.750 0.250 0.750
7 Cd 0.750 0.750 0.250
8 Cd 0.750 0.750 0.750
9 Sn 0.000 0.000 0.000
10 Sn 0.000 0.500 0.500
11 Sn 0.500 0.000 0.500
12 Sn 0.500 0.500 0.000
13 Pb 0.000 0.000 0.500
14 Pb 0.000 0.500 0.000
15 Pb 0.500 0.000 0.000
16 Pb 0.500 0.500 0.500

Output
* ρ: 8.56 g/cm³
* symmetry: Fm-3m
* energy relative to the elements: 8 kJ per mole of atoms

=====

No. 12
## Cd6SnPb2 (GGA-PBE)

Data for an optimized crystal structure of Cd6SnPb2.

abc: 6.174 6.174 7.231
angles: 90.00 90.00 120.00
Fractional coordinates of all 9 atoms:
1 Cd 0.173 0.347 0.337
2 Cd 0.173 0.827 0.337
3 Cd 0.347 0.173 0.663
4 Cd 0.653 0.827 0.337
5 Cd 0.827 0.173 0.663
6 Cd 0.827 0.653 0.663
7 Sn 0.000 0.000 0.000
8 Pb 0.333 0.667 0.923
9 Pb 0.667 0.333 0.077

Output
* ρ: 8.40 g/cm³
* symmetry: P-3m1
* energy relative to the elements: 5 kJ per mole of atoms

=====

> Which of these has the highest ρ?

CdSnPb4

=====

> What is the ρ in the third record?

8.63 g/cm³